Density functional theory data (PBE-GGA) for an optimized crystal structure of MgPaHg2O8.

abc: 6.6242 6.6242 6.6242
angles: 115.20 115.20 98.53
Element x y z (fractional)
Mg: 0.0000 0.0000 0.0000
Pa: 0.2500 0.7500 0.5000
Hg: 0.5000 0.5000 0.0000
Hg: 0.7500 0.2500 0.5000
O: 0.0010 0.8070 0.1941
O: 0.0432 0.3433 0.3001
O: 0.0432 0.7431 0.6999
O: 0.1930 0.3871 0.1941
O: 0.1930 0.9990 0.8059
O: 0.2569 0.9568 0.3001
O: 0.6129 0.8070 0.8059
O: 0.6567 0.9568 0.6999

Output
calculated density = 5.981 g/cm3
calculated volume = 217.8 Å³ per cell
energy relative to the elements, uncorrected = -13.683 eV/f.u.
N(E_F) = 0.85 states/eV per atom



Density functional theory data (PBE-GGA) for an optimized crystal structure of Pm6Dy2Er3Tl.

abc: 6.1769 6.1769 11.7572
angles: 95.06 95.06 120.10
Element x y z (fractional)
Pm: 0.0829 0.4114 0.7495
Pm: 0.2452 0.2452 0.2492
Pm: 0.4114 0.0829 0.7495
Pm: 0.5886 0.9171 0.2505
Pm: 0.7548 0.7548 0.7508
Pm: 0.9171 0.5886 0.2505
Dy: 0.3337 0.6663 0.5000
Dy: 0.6663 0.3337 0.5000
Er: 0.1675 0.8325 0.0000
Er: 0.5000 0.5000 0.0000
Er: 0.8325 0.1675 0.0000
Tl: 0.0000 0.0000 0.5000

Output
calculated density = 8.264 g/cm3
calculated volume = 382.0 Å³ per cell
DFT formation energy = -0.155 eV per formula unit
N(E_F) = 1.09 states/eV per atom



Density functional theory data (PBE-GGA) for an optimized crystal structure of BaLiCl2.

abc: 5.0711 5.0711 3.9801
angles: 90.00 90.00 90.00
Element x y z (fractional)
Ba: 0.0000 0.0000 0.0000
Li: 0.5000 0.5000 0.0000
Cl: 0.0000 0.5000 0.5000
Cl: 0.5000 0.0000 0.5000

Output
calculated density = 3.491 g/cm3
relative energy among the computed polymorphs = 183.2 meV/atom
calculated volume = 102.4 Å³ per cell
energy relative to the elements, uncorrected = -6.173 eV/f.u.
N(E_F) = 0.37 states/eV per atom